# 1
VASP calculation (PBE-GGA) on crystalline NdGa2PtRh2 at its relaxed geometry.

Properties
- E (eV per atom) = -5.582
- DFT formation energy (meV/atom) = -322
- total magnetization (Bohr magnetons per cell) = 0.00

```
NdGa2PtRh2
1.0
-1.8489 -4.2913 0.0553
1.7800 -0.8216 -4.2418
4.6747 -1.9838 2.3459
Nd Ga Pt Rh
1 2 1 2
Direct
0.0000 0.0000 0.5000 Nd
0.5000 0.0000 0.0000 Ga
0.0000 0.5000 0.0000 Ga
0.0000 0.0000 0.0000 Pt
0.5000 0.5000 0.7433 Rh
0.5000 0.5000 0.2567 Rh
```

---

# 2
VASP calculation (PBE-GGA) on crystalline Cd3HPt2 at its relaxed geometry.

Properties
- E (eV per atom) = -3.287
- total magnetization (Bohr magnetons per cell) = 0.00

```
Cd3HPt2
1.0
5.4442 -0.0719 0.9541
-0.3286 5.4348 0.9541
-0.2674 -0.2804 6.9073
Cd H Pt
6 2 4
Direct
0.3238 0.6762 0.2500 Cd
0.6762 0.3238 0.7500 Cd
0.1334 0.2501 0.0191 Cd
0.7499 0.8666 0.4809 Cd
0.8666 0.7499 0.9809 Cd
0.2501 0.1334 0.5191 Cd
0.6189 0.3811 0.2500 H
0.3811 0.6189 0.7500 H
0.8810 0.4003 0.3603 Pt
0.5997 0.1190 0.1397 Pt
0.4003 0.8810 0.8603 Pt
0.1190 0.5997 0.6397 Pt
```

---

# 3
VASP calculation (PBE-GGA) on crystalline Ba4Sr5Ac2 at its relaxed geometry.

Properties
- E (eV per atom) = -2.035
- DFT formation energy (meV/atom) = 175
- total magnetization (Bohr magnetons per cell) = 0.78

```
Ba4Sr5Ac2
1.0
3.9473 0.0000 -0.5115
-0.0773 10.5642 -0.5965
-0.1057 0.0534 14.6715
Ba Sr Ac
4 5 2
Direct
0.2786 0.1765 0.5571 Ba
0.0881 0.7274 0.1762 Ba
0.7214 0.8235 0.4429 Ba
0.9119 0.2726 0.8238 Ba
0.8160 0.5405 0.6319 Sr
0.1840 0.4595 0.3681 Sr
0.8666 0.9035 0.7332 Sr
0.5000 0.0000 0.0000 Sr
0.1334 0.0965 0.2668 Sr
0.9573 0.6325 0.9146 Ac
0.0427 0.3675 0.0854 Ac
```

---

# 4
VASP calculation (PBE-GGA) on crystalline PmTm3Th2P6 at its relaxed geometry.

Properties
- E (eV per atom) = -7.040
- DFT formation energy (meV/atom) = -1584
- total magnetization (Bohr magnetons per cell) = 0.00

```
PmTm3Th2P6
1.0
4.0565 0.0000 0.0000
0.0000 8.0634 0.3127
-2.0282 -2.2994 8.4975
Pm Tm Th P
1 3 2 6
Direct
0.5000 0.0000 0.0000 Pm
0.5000 0.5000 0.0000 Tm
0.8344 0.1663 0.6688 Tm
0.1656 0.8337 0.3312 Tm
0.8346 0.6693 0.6692 Th
0.1654 0.3307 0.3308 Th
0.3306 0.9227 0.6611 P
0.6645 0.5891 0.3291 P
0.6694 0.0773 0.3389 P
0.9978 0.2571 0.9955 P
0.0022 0.7429 0.0045 P
0.3355 0.4109 0.6709 P
```

---

What is the formula in the second record? Cd3HPt2